Below is a relaxed ZrGe2Cl8 crystal, with properties calculated at the PBE level.

abc: 7.6270 7.6270 7.5482
angles: 101.83 101.83 73.34
Element x y z (fractional)
Zr  0.0000  0.0000  0.0000
Ge  0.1434  0.1434  0.6183
Ge  0.8566  0.8566  0.3817
Cl  0.1159  0.7371  0.1862
Cl  0.1831  0.1831  0.2265
Cl  0.2629  0.8841  0.8138
Cl  0.3242  0.3242  0.7604
Cl  0.6758  0.6758  0.2396
Cl  0.7371  0.1159  0.1862
Cl  0.8169  0.8169  0.7735
Cl  0.8841  0.2629  0.8138

## Properties
The size of the total moment comes out at 0.00 μB/cell. The value obtained for the formation energy without anion corrections is -13.28 eV per formula unit.

=====

Below is a relaxed ZrGe2Cl crystal, with properties calculated at the PBE level.

abc: 4.8766 4.8766 4.8766
angles: 60.00 60.00 60.00
Element x y z (fractional)
Zr  0.0000  0.0000  0.0000
Ge  0.2500  0.2500  0.2500
Ge  0.7500  0.7500  0.7500
Cl  0.5000  0.5000  0.5000

## Properties
The value obtained for the distance to the lowest polymorph of the same formula is 367 meV/atom. The size of the total moment comes out at 0.00 μB/cell. The value obtained for the formation energy without anion corrections is 0.95 eV per formula unit.

=====

Below is a relaxed ZrGeCl2 crystal, with properties calculated at the PBE level.

abc: 4.7415 4.7415 4.7415
angles: 60.00 60.00 60.00
Element x y z (fractional)
Zr  0.0000  0.0000  0.0000
Ge  0.5000  0.5000  0.5000
Cl  0.2500  0.2500  0.2500
Cl  0.7500  0.7500  0.7500

## Properties
The value obtained for the distance to the lowest polymorph of the same formula is 0 meV/atom. The size of the total moment comes out at 0.00 μB/cell. The value obtained for the formation energy without anion corrections is -1.04 eV per formula unit.

=====

Below is a relaxed ZrGe2Cl crystal, with properties calculated at the PBE level.

abc: 11.5517 11.5517 11.5517
angles: 161.25 161.25 26.64
Element x y z (fractional)
Zr  0.0000  0.0000  0.0000
Zr  0.7500  0.2500  0.5000
Ge  0.1109  0.6250  0.9859
Ge  0.3750  0.3609  0.4859
Ge  0.6391  0.1250  0.0141
Ge  0.8750  0.8891  0.5141
Cl  0.2500  0.7500  0.5000
Cl  0.5000  0.5000  0.0000

## Properties
The value obtained for the distance to the lowest polymorph of the same formula is 0 meV/atom. The size of the total moment comes out at 0.00 μB/cell. The value obtained for the formation energy without anion corrections is -0.52 eV per formula unit.